{"formula": "BaY2Mn", "functional": "PBE", "state": "optimized geometry", "final_energy_ev_per_cell": -22.3, "dos_at_fermi_per_ev_cell": 4.90, "lattice_angstrom": [[6.199, -1.848, 0.000], [6.199, 1.848, 0.000], [-3.564, 0.000, 5.842]], "species": ["Ba", "Y", "Y", "Mn"], "frac_coords": [[0.000, 0.000, 0.000], [0.189, 0.189, 0.749], [0.397, 0.397, 0.401], [0.718, 0.718, 0.447]]}

---

{"formula": "CeThPa2", "functional": "PBE", "state": "optimized geometry", "final_energy_ev_per_cell": -31.0, "dos_at_fermi_per_ev_cell": 10.79, "lattice_angstrom": [[2.612, 1.508, 4.742], [-2.612, 1.508, 4.742], [0.000, -3.016, 4.742]], "species": ["Ce", "Th", "Pa", "Pa"], "frac_coords": [[0.000, 0.000, 0.000], [0.500, 0.500, 0.500], [0.283, 0.283, 0.283], [0.717, 0.717, 0.717]]}

---

{"formula": "AlIr2Pb", "functional": "PBE", "state": "optimized geometry", "final_energy_ev_per_cell": -25.2, "dos_at_fermi_per_ev_cell": 4.20, "lattice_angstrom": [[1.496, 0.864, 8.922], [-1.496, 0.864, 8.922], [0.000, -1.727, 8.922]], "species": ["Al", "Ir", "Ir", "Pb"], "frac_coords": [[0.000, 0.000, 0.000], [0.263, 0.263, 0.263], [0.737, 0.737, 0.737], [0.500, 0.500, 0.500]]}

---

{"formula": "ErPaB2Rh5", "functional": "PBE", "state": "optimized geometry", "final_energy_ev_per_cell": -70.7, "dos_at_fermi_per_ev_cell": 3.43, "lattice_angstrom": [[4.140, 0.000, 0.000], [0.000, 4.140, 0.000], [0.000, 0.000, 8.180]], "species": ["Er", "Pa", "B", "B", "Rh", "Rh", "Rh", "Rh", "Rh"], "frac_coords": [[0.000, 0.000, 0.000], [0.000, 0.000, 0.500], [0.500, 0.500, 0.286], [0.500, 0.500, 0.714], [0.000, 0.500, 0.256], [0.000, 0.500, 0.744], [0.500, 0.000, 0.256], [0.500, 0.000, 0.744], [0.500, 0.500, 0.000]]}

---

{"formula": "Ti2SnBi2", "functional": "PBE", "state": "optimized geometry", "final_energy_ev_per_cell": -55.8, "dos_at_fermi_per_ev_cell": 6.92, "lattice_angstrom": [[7.623, 0.000, 0.000], [0.000, 7.623, 0.000], [0.000, 0.000, 3.982]], "species": ["Ti", "Ti", "Ti", "Ti", "Sn", "Sn", "Bi", "Bi", "Bi", "Bi"], "frac_coords": [[0.142, 0.358, 0.000], [0.358, 0.858, 0.000], [0.642, 0.142, 0.000], [0.858, 0.642, 0.000], [0.000, 0.000, 0.000], [0.500, 0.500, 0.000], [0.156, 0.656, 0.500], [0.344, 0.156, 0.500], [0.656, 0.844, 0.500], [0.844, 0.344, 0.500]]}